1.
DFT (PBE-GGA) results for a geometry-optimized Y2TlIn structure.

Lattice parameters (Å, degrees): 7.5679 7.5679 7.5679 90.00 90.00 90.00
With the nearest neighbours (Å) after each atom.
Space group Fm-3m (No. 225)
Symmetry-distinct sites (fractional):
Y1 0.2500 0.2500 0.2500 (multiplicity 8)  4 Tl 3.28, 4 In 3.28
Tl1 0.0000 0.0000 0.0000 (multiplicity 4)  8 Y 3.28
In1 0.0000 0.0000 0.5000 (multiplicity 4)  8 Y 3.28

The calculation puts the size of the total moment at 0.0 μB per cell.

***

2.
DFT (PBE-GGA) results for a geometry-optimized Y2TlIn structure.

Lattice parameters (Å, degrees): 8.3191 8.3191 6.9390 90.00 90.00 90.00
With the nearest neighbours (Å) after each atom.
Space group I-42d (No. 122)
Symmetry-distinct sites (fractional):
Y1 0.2476 0.2500 0.1250 (multiplicity 8)  2 Tl 3.05, 2 In 3.08
Tl1 0.0000 0.0000 0.0000 (multiplicity 4)  4 Y 3.05
In1 0.0000 0.0000 0.5000 (multiplicity 4)  4 Y 3.08

The calculation puts the size of the total moment at 0.0 μB per cell.

***

3.
DFT (PBE-GGA) results for a geometry-optimized YZrTlIn2 structure.

Lattice parameters (Å, degrees): 5.8160 5.8160 5.2382 90.00 90.00 90.00
With the nearest neighbours (Å) after each atom.
Space group P4/mmm (No. 123)
Symmetry-distinct sites (fractional):
Y1 0.0000 0.0000 0.0000 (multiplicity 1)  2 Zr 2.62, 4 In 2.91
Zr1 0.0000 0.0000 0.5000 (multiplicity 1)  2 Y 2.62
Tl1 0.5000 0.5000 0.5000 (multiplicity 1)  8 In 3.91, 4 Zr 4.11
In1 0.0000 0.5000 0.0000 (multiplicity 2)  2 Y 2.91

The calculation puts the size of the total moment at 0.0 μB per cell.

***

4.
DFT (PBE-GGA) results for a geometry-optimized YZrTlIn structure.

Lattice parameters (Å, degrees): 7.3486 7.3486 7.3486 90.00 90.00 90.00
With the nearest neighbours (Å) after each atom.
Space group F-43m (No. 216)
Symmetry-distinct sites (fractional):
Y1 0.0000 0.0000 0.0000 (multiplicity 4)  4 In 3.18, 4 Tl 3.18
Zr1 0.0000 0.0000 0.5000 (multiplicity 4)  4 Tl 3.18, 4 In 3.18
Tl1 0.2500 0.2500 0.7500 (multiplicity 4)  4 Y 3.18, 4 Zr 3.18
In1 0.2500 0.2500 0.2500 (multiplicity 4)  4 Zr 3.18, 4 Y 3.18

The calculation puts the size of the total moment at 1.8 μB per cell.

***

5.
DFT (PBE-GGA) results for a geometry-optimized TlZn3In3 structure.

Lattice parameters (Å, degrees): 7.6073 7.6073 7.6073 90.00 90.00 90.00
With the nearest neighbours (Å) after each atom.
Space group Pm-3n (No. 223)
Symmetry-distinct sites (fractional):
Tl1 0.0000 0.0000 0.0000 (multiplicity 2)  12 In 4.25, 12 Zn 4.25
Zn1 0.0000 0.2500 0.5000 (multiplicity 6)  4 In 2.69
In1 0.0000 0.5000 0.2500 (multiplicity 6)  4 Zn 2.69

The calculation puts the size of the total moment at 0.0 μB per cell.

***

6.
DFT (PBE-GGA) results for a geometry-optimized TlZnIn structure.

Lattice parameters (Å, degrees): 4.5983 4.5983 11.9690 90.00 90.00 120.00
With the nearest neighbours (Å) after each atom.
Space group P6_3/mmc (No. 194)
Symmetry-distinct sites (fractional):
Tl1 0.0000 0.0000 0.0000 (multiplicity 2)  2 In 2.99
Zn1 0.3333 0.6667 0.2500 (multiplicity 2)  3 In 2.65
In1 0.0000 0.0000 0.2500 (multiplicity 2)  3 Zn 2.65

The calculation puts the size of the total moment at 0.0 μB per cell.

***

7.
DFT (PBE-GGA) results for a geometry-optimized TlZn2In2 structure.

Lattice parameters (Å, degrees): 4.3295 4.3295 13.0555 90.00 90.00 90.00
With the nearest neighbours (Å) after each atom.
Space group I4/mmm (No. 139)
Symmetry-distinct sites (fractional):
Tl1 0.0000 0.0000 0.0000 (multiplicity 2)  8 In 3.40
Zn1 0.0000 0.5000 0.2500 (multiplicity 4)  4 In 2.81, 4 Zn 3.06
In1 0.0000 0.0000 0.3868 (multiplicity 4)  4 Zn 2.81, 1 In 2.96

The value obtained for the energy relative to the lowest polymorph listed for this composition is 35 meV/atom. The calculation puts the size of the total moment at 0.0 μB per cell.

***

8.
DFT (PBE-GGA) results for a geometry-optimized TlZn2In structure.

Lattice parameters (Å, degrees): 4.5056 4.5056 18.9906 90.00 90.00 90.00
With the nearest neighbours (Å) after each atom.
Space group I-42d (No. 122)
Symmetry-distinct sites (fractional):
Tl1 0.0000 0.0000 0.0000 (multiplicity 4)  4 Zn 2.93, 4 In 3.19
Zn1 0.2144 0.2500 0.6250 (multiplicity 8)  2 In 2.80, 2 Tl 2.93, 2 Zn 2.97
In1 0.0000 0.0000 0.5000 (multiplicity 4)  4 Zn 2.80

The value obtained for the energy relative to the lowest polymorph listed for this composition is 111 meV/atom. The calculation puts the size of the total moment at 0.0 μB per cell.

***

9.
DFT (PBE-GGA) results for a geometry-optimized TlZnIn structure.

Lattice parameters (Å, degrees): 3.5241 3.5893 11.7732 90.51 90.16 93.57
With the nearest neighbours (Å) after each atom.
Space group P1 (No. 1)
Symmetry-distinct sites (fractional):
Tl1 0.0000 0.0000 0.0000 (multiplicity 1)  4 Zn 3.07-3.22
Tl2 0.4968 0.4974 0.2180 (multiplicity 1)  4 In 3.36-3.50, 8 Tl 3.51-3.65
Zn1 0.4998 0.4980 0.5586 (multiplicity 1)  8 In 2.95-3.09, 1 Zn 3.30
Zn2 0.4997 0.5014 0.8388 (multiplicity 1)  4 In 2.92-3.07, 4 Tl 3.07-3.22
In1 0.9983 0.9971 0.4167 (multiplicity 1)  4 Zn 2.95-3.09
In2 0.9986 0.0006 0.7005 (multiplicity 1)  8 Zn 2.92-3.09

The calculation puts the size of the total moment at 0.0 μB per cell.

***

10.
DFT (PBE-GGA) results for a geometry-optimized Tl12ZnIn6 structure.

Lattice parameters (Å, degrees): 14.1985 14.1985 9.8326 90.00 90.00 120.00
With the nearest neighbours (Å) after each atom.
Space group R-3 (No. 148, hexagonal axes)
Symmetry-distinct sites (fractional):
Tl1 0.0106 0.2427 0.4355 (multiplicity 18)  2 In 3.19-3.38, 2 Tl 3.25-3.51, 1 Zn 3.43
Tl2 0.0750 0.5869 0.6213 (multiplicity 18)  3 In 3.21-3.52, 5 Tl 3.25-3.51
Zn1 0.0000 0.0000 0.5000 (multiplicity 3)  6 In 3.05
In1 0.0158 0.8751 0.2571 (multiplicity 18)  1 Zn 3.05, 4 Tl 3.19-3.38, 2 In 3.28

The calculation puts the size of the total moment at 0.0 μB per cell.

***

11.
DFT (PBE-GGA) results for a geometry-optimized TlZnIn structure.

Lattice parameters (Å, degrees): 5.7196 3.3932 7.9674 90.00 102.15 90.00
With the nearest neighbours (Å) after each atom.
Space group Pm (No. 6)
Symmetry-distinct sites (fractional):
Tl1 0.0000 0.0000 0.0000 (multiplicity 1)  2 Zn 3.00, 1 Tl 3.22
Tl2 0.1101 0.0000 0.4136 (multiplicity 1)  4 Zn 2.88-3.09, 1 Tl 3.22
Zn1 0.6225 0.0000 0.5238 (multiplicity 1)  2 Zn 2.62, 1 Tl 2.88
Zn2 0.9407 0.5000 0.6839 (multiplicity 1)  2 Zn 2.62, 1 In 2.88
In1 0.4531 0.5000 0.7944 (multiplicity 1)  4 Zn 2.88-3.10, 1 In 3.20
In2 0.5610 0.5000 0.2056 (multiplicity 1)  2 Zn 3.01, 1 In 3.20

The calculation puts the size of the total moment at 0.0 μB per cell.

***

12.
DFT (PBE-GGA) results for a geometry-optimized TlZnIn structure.

Lattice parameters (Å, degrees): 3.4578 4.9913 9.1035 76.86 79.30 89.88
With the nearest neighbours (Å) after each atom.
Space group P1 (No. 1)
Symmetry-distinct sites (fractional):
Tl1 0.0000 0.0000 0.0000 (multiplicity 1)  5 Zn 3.14-3.40, 2 Tl 3.46, 1 In 3.49
Tl2 0.3793 0.3990 0.2450 (multiplicity 1)  1 Zn 2.99, 4 In 3.32-3.33
Zn1 0.1595 0.7425 0.6792 (multiplicity 1)  2 Zn 2.65-2.66
Zn2 0.5499 0.5390 0.9012 (multiplicity 1)  2 Zn 2.65-2.66
In1 0.6765 0.2438 0.6409 (multiplicity 1)  5 Zn 2.99-3.12, 2 In 3.23-3.29
In2 0.8028 0.8355 0.4004 (multiplicity 1)  2 Zn 2.97-3.00, 2 In 3.23-3.29, 1 Tl 3.32

The calculation puts the size of the total moment at 0.0 μB per cell.

***

13.
DFT (PBE-GGA) results for a geometry-optimized TlZnIn structure.

Lattice parameters (Å, degrees): 5.4150 5.7839 5.8793 78.35 63.34 63.12
With the nearest neighbours (Å) after each atom.
Space group P1 (No. 1)
Symmetry-distinct sites (fractional):
Tl1 0.0000 0.0000 0.0000 (multiplicity 1)  4 Zn 3.10-3.19, 3 In 3.23-3.34
Tl2 0.4990 0.3032 0.6986 (multiplicity 1)  4 Zn 3.07-3.16, 3 In 3.26-3.38
Zn1 0.1046 0.7973 0.4935 (multiplicity 1)  2 Zn 2.71, 1 In 3.01
Zn2 0.6053 0.7974 0.4918 (multiplicity 1)  2 Zn 2.71
In1 0.1874 0.3027 0.3198 (multiplicity 1)  4 Zn 3.01-3.09, 2 Tl 3.26-3.34
In2 0.6848 0.6265 0.9982 (multiplicity 1)  4 Zn 3.04-3.12, 3 Tl 3.23-3.34

The calculation puts the size of the total moment at 0.0 μB per cell.

***

| no. | V (Å³ per atom) | energy of formation from the pure elements (eV per atom) | DOS(E_F) (states/eV/f.u.) |
| --- | --- | --- | --- |
| 1 | 27.09 | -0.436 | 1.8 |
| 2 | 30.01 | -0.109 | 4.4 |
| 3 | 35.44 | 0.805 | 4.3 |
| 4 | 24.80 | -0.196 | 4.0 |
| 5 | 31.45 | 0.340 | 5.1 |
| 6 | 36.53 | 0.423 | 2.2 |
| 7 | 24.47 | 0.117 | 2.1 |
| 8 | 24.10 | 0.213 | 1.7 |
| 9 | 24.77 | 0.090 | 1.2 |
| 10 | 30.12 | 0.062 | 8.8 |
| 11 | 25.19 | 0.094 | 1.3 |
| 12 | 25.04 | 0.082 | 1.2 |
| 13 | 24.46 | 0.073 | 1.3 |